# GGA-PBE Ac8Zn2Cu, optimized geometry
# Formation energy, eV per atom: -0.050
# ρ, kg/m3: 8418
# Fermi-level density of states, states/eV/f.u.: 10.80
data_Ac8Zn2Cu
_chemical_formula_sum 'Ac16 Zn4 Cu2'
_cell_length_a 19.7348
_cell_length_b 5.5480
_cell_length_c 7.4317
_cell_angle_alpha 90.00
_cell_angle_beta 102.91
_cell_angle_gamma 90.00
_symmetry_space_group_name_H-M 'C 1 2/m 1'
_symmetry_Int_Tables_number 12
_symmetry_space_group_name_Hall '-C 2y'
loop_
_atom_site_label
_atom_site_type_symbol
_atom_site_fract_x
_atom_site_fract_y
_atom_site_fract_z
Ac1 Ac 0.0269 0.0000 0.2774
Ac2 Ac 0.0902 0.5000 0.9494
Ac3 Ac 0.1602 0.5000 0.4682
Ac4 Ac 0.2031 0.0000 0.8231
Zn1 Zn 0.1890 0.0000 0.2413
Cu1 Cu 0.0000 0.5000 0.5000

# GGA-PBE Ac6ZnCu2, optimized geometry
# Formation energy, eV per atom: -0.075
# ρ, kg/m3: 8344
# Fermi-level density of states, states/eV/f.u.: 10.98
data_Ac6ZnCu2
_chemical_formula_sum 'Ac24 Zn4 Cu8'
_cell_length_a 10.2554
_cell_length_b 10.8617
_cell_length_c 11.1087
_cell_angle_alpha 90.00
_cell_angle_beta 90.00
_cell_angle_gamma 90.00
_symmetry_space_group_name_H-M 'I m m m'
_symmetry_Int_Tables_number 71
_symmetry_space_group_name_Hall '-I 2 2'
loop_
_atom_site_label
_atom_site_type_symbol
_atom_site_fract_x
_atom_site_fract_y
_atom_site_fract_z
Ac1 Ac 0.0000 0.1849 0.2423
Ac2 Ac 0.1887 0.5000 0.1723
Ac3 Ac 0.2227 0.3244 0.5000
Zn1 Zn 0.0000 0.0000 0.0000
Zn2 Zn 0.0000 0.0000 0.5000
Cu1 Cu 0.0000 0.3382 0.0000
Cu2 Cu 0.0000 0.5000 0.3858

# GGA-PBE AcZnCu, optimized geometry
# Formation energy, eV per atom: -0.242
# ρ, kg/m3: 8151
# Fermi-level density of states, states/eV/f.u.: 2.03
data_AcZnCu
_chemical_formula_sum 'Ac4 Zn4 Cu4'
_cell_length_a 11.3928
_cell_length_b 4.4497
_cell_length_c 7.9704
_cell_angle_alpha 90.00
_cell_angle_beta 134.12
_cell_angle_gamma 90.00
_symmetry_space_group_name_H-M 'C 1 2/m 1'
_symmetry_Int_Tables_number 12
_symmetry_space_group_name_Hall '-C 2y'
loop_
_atom_site_label
_atom_site_type_symbol
_atom_site_fract_x
_atom_site_fract_y
_atom_site_fract_z
Ac1 Ac 0.2438 0.0000 0.2423
Zn1 Zn 0.0018 0.0000 0.3333
Cu1 Cu 0.0012 0.5000 0.1654

# GGA-PBE AcZn7Cu5, optimized geometry
# Formation energy, eV per atom: -0.135
# ρ, kg/m3: 8142
# Fermi-level density of states, states/eV/f.u.: 6.34
data_AcZn7Cu5
_chemical_formula_sum 'Ac2 Zn14 Cu10'
_cell_length_a 4.9349
_cell_length_b 9.1556
_cell_length_c 9.0515
_cell_angle_alpha 90.00
_cell_angle_beta 90.00
_cell_angle_gamma 90.00
_symmetry_space_group_name_H-M 'I m m 2'
_symmetry_Int_Tables_number 44
_symmetry_space_group_name_Hall 'I 2 -2'
loop_
_atom_site_label
_atom_site_type_symbol
_atom_site_fract_x
_atom_site_fract_y
_atom_site_fract_z
Ac1 Ac 0.0000 0.0000 0.0000
Zn1 Zn 0.0000 0.0000 0.3580
Zn2 Zn 0.0000 0.0000 0.6500
Zn3 Zn 0.0000 0.2680 0.5051
Zn4 Zn 0.0000 0.3557 0.0126
Zn5 Zn 0.0000 0.5000 0.7429
Cu1 Cu 0.0000 0.5000 0.2699
Cu2 Cu 0.2496 0.2501 0.2566

# GGA-PBE Ac3Zn9Cu2, optimized geometry
# Formation energy, eV per atom: -0.237
# ρ, kg/m3: 8040
# Fermi-level density of states, states/eV/f.u.: 6.78
data_Ac3Zn9Cu2
_chemical_formula_sum 'Ac6 Zn18 Cu4'
_cell_length_a 4.5863
_cell_length_b 9.3997
_cell_length_c 13.3835
_cell_angle_alpha 90.00
_cell_angle_beta 90.00
_cell_angle_gamma 90.00
_symmetry_space_group_name_H-M 'I m m m'
_symmetry_Int_Tables_number 71
_symmetry_space_group_name_Hall '-I 2 2'
loop_
_atom_site_label
_atom_site_type_symbol
_atom_site_fract_x
_atom_site_fract_y
_atom_site_fract_z
Ac1 Ac 0.0000 0.0000 0.0000
Ac2 Ac 0.0000 0.0000 0.3036
Zn1 Zn 0.0000 0.2843 0.1271
Zn2 Zn 0.0000 0.3548 0.3399
Zn3 Zn 0.0000 0.5000 0.0000
Cu1 Cu 0.0000 0.2060 0.5000

# GGA-PBE Ac2Zn3Cu2, optimized geometry
# Formation energy, eV per atom: -0.046
# ρ, kg/m3: 7618
# Fermi-level density of states, states/eV/f.u.: 4.85
data_Ac2Zn3Cu2
_chemical_formula_sum 'Ac4 Zn6 Cu4'
_cell_length_a 4.1495
_cell_length_b 20.4071
_cell_length_c 4.0020
_cell_angle_alpha 90.00
_cell_angle_beta 90.00
_cell_angle_gamma 90.00
_symmetry_space_group_name_H-M 'C m m m'
_symmetry_Int_Tables_number 65
_symmetry_space_group_name_Hall '-C 2 2'
loop_
_atom_site_label
_atom_site_type_symbol
_atom_site_fract_x
_atom_site_fract_y
_atom_site_fract_z
Ac1 Ac 0.0000 0.1584 0.0000
Zn1 Zn 0.0000 0.0000 0.0000
Zn2 Zn 0.0000 0.4363 0.5000
Cu1 Cu 0.0000 0.2850 0.5000